# PBE CaGd2Bi, optimized geometry
# Final energy in eV/cell: -35.52
# Excess energy over the best structure of this formula in the dataset in kJ per mole of atoms: 0.0
# ΔH_f (0 K) in eV/atom: -0.37
data_CaGd2Bi
_space_group_name_H-M_alt 'P 1'
_space_group_IT_number 1
_cell_length_a 4.251
_cell_length_b 4.251
_cell_length_c 7.036
_cell_angle_alpha 90.00
_cell_angle_beta 90.00
_cell_angle_gamma 90.00
loop_
_space_group_symop_operation_xyz
'x,y,z'
loop_
_atom_site_label
_atom_site_fract_x
_atom_site_fract_y
_atom_site_fract_z
_atom_site_occupancy
Ca1 0.000 0.000 0.000 1
Gd1 0.500 0.500 0.268 1
Gd2 0.500 0.500 0.732 1
Bi1 0.000 0.000 0.500 1